Entry from Alexandria via LeMat-Bulk: a geometry-optimized AcNpSbN2 structure (PBE).

The structure in POSCAR format:
```
AcNpSbN2
1.0
2.919 -6.730 0.000
2.919 6.730 0.000
0.000 0.000 5.660
Ac Np Sb N
2 2 2 4
Cartesian
2.919 5.326 4.245
2.919 -5.326 1.415
2.919 0.968 4.245
2.919 -0.968 1.415
2.919 3.363 1.415
2.919 -3.363 4.245
1.645 0.000 0.000
1.645 0.000 2.830
4.193 0.000 0.000
4.193 0.000 2.830
```

## Properties
- electronic total energy (eV/atom) = -8.60